# Y3Mg3GaCuIr PBE relaxed
data_Y3Mg3GaCuIr
_cell_length_a 7.5504
_cell_length_b 7.5504
_cell_length_c 3.9561
_cell_angle_alpha 90.00
_cell_angle_beta 90.00
_cell_angle_gamma 120.00
_space_group_name_H-M_alt 'P -6'
_space_group_IT_number 174
loop_
_space_group_symop_operation_xyz
'x,y,z'
'-x+y,-x,-z'
'-y,x-y,z'
'x,y,-z'
'-x+y,-x,z'
'-y,x-y,-z'
loop_
_atom_site_label
_atom_site_fract_x
_atom_site_fract_y
_atom_site_fract_z
Y1 0.0911 0.7382 0.0000
Mg1 0.4222 0.0898 0.5000
Ga1 0.0000 0.0000 0.5000
Cu1 0.6667 0.3333 0.0000
Ir1 0.3333 0.6667 0.5000
# Electronic total energy in eV/atom: -4.885



# GaCuMoIr PBE relaxed
data_GaCuMoIr
_cell_length_a 6.133
_cell_length_b 6.133
_cell_length_c 6.133
_cell_angle_alpha 90.00
_cell_angle_beta 90.00
_cell_angle_gamma 90.00
_space_group_name_H-M_alt 'F -4 3 m'
_space_group_IT_number 216
_space_group_name_Hall 'F -4 2 3'
loop_
_atom_site_label
_atom_site_fract_x
_atom_site_fract_y
_atom_site_fract_z
Ga1 0.000 0.000 0.000
Cu1 0.250 0.250 0.250
Mo1 0.000 0.000 0.500
Ir1 0.250 0.250 0.750
# ΔE to the lowest computed polymorph in meV/atom: 0



# NdGa2CuIr PBE relaxed
data_NdGa2CuIr
_cell_length_a 4.282
_cell_length_b 4.282
_cell_length_c 10.164
_cell_angle_alpha 90.00
_cell_angle_beta 90.00
_cell_angle_gamma 90.00
_space_group_name_H-M_alt 'P 4/n m m'
_space_group_IT_number 129
loop_
_space_group_symop_operation_xyz
'x,y,z'
'-x,-y,-z'
'-y+1/2,x,z'
'y+1/2,-x,-z'
'-x+1/2,-y+1/2,z'
'x+1/2,y+1/2,-z'
'y,-x+1/2,z'
'-y,x+1/2,-z'
'x+1/2,-y,-z'
'-x+1/2,y,z'
'-y,-x,-z'
'y,x,z'
'-x,y+1/2,-z'
'x,-y+1/2,z'
'y+1/2,x+1/2,-z'
'-y+1/2,-x+1/2,z'
loop_
_atom_site_label
_atom_site_fract_x
_atom_site_fract_y
_atom_site_fract_z
Nd1 0.250 0.250 0.247
Ga1 0.250 0.250 0.880
Ga2 0.250 0.750 0.500
Cu1 0.250 0.750 0.000
Ir1 0.250 0.250 0.635
# Electronic total energy in eV/atom: -5.236



# GaCuIrPd PBE relaxed
data_GaCuIrPd
_cell_length_a 6.118
_cell_length_b 6.118
_cell_length_c 6.118
_cell_angle_alpha 90.00
_cell_angle_beta 90.00
_cell_angle_gamma 90.00
_space_group_name_H-M_alt 'F -4 3 m'
_space_group_IT_number 216
_space_group_name_Hall 'F -4 2 3'
loop_
_atom_site_label
_atom_site_fract_x
_atom_site_fract_y
_atom_site_fract_z
Ga1 0.000 0.000 0.000
Cu1 0.250 0.250 0.250
Ir1 0.250 0.250 0.750
Pd1 0.000 0.000 0.500
# ΔE to the lowest computed polymorph in meV/atom: 0



# GaCu2IrS4 PBE relaxed
data_GaCu2IrS4
_cell_length_a 5.242
_cell_length_b 5.242
_cell_length_c 10.874
_cell_angle_alpha 90.00
_cell_angle_beta 90.00
_cell_angle_gamma 90.00
_space_group_name_H-M_alt 'I -4'
_space_group_IT_number 82
loop_
_space_group_symop_operation_xyz
'x,y,z'
'y,-x,-z'
'-x,-y,z'
'-y,x,-z'
'x+1/2,y+1/2,z+1/2'
'y+1/2,-x+1/2,-z+1/2'
'-x+1/2,-y+1/2,z+1/2'
'-y+1/2,x+1/2,-z+1/2'
loop_
_atom_site_label
_atom_site_fract_x
_atom_site_fract_y
_atom_site_fract_z
Ga1 0.000 0.000 0.000
Cu1 0.000 0.000 0.500
Cu2 0.000 0.500 0.250
Ir1 0.000 0.500 0.750
S1 0.246 0.246 0.627
# Electronic total energy in eV/atom: -4.719



# GaCuSbIr PBE relaxed
data_GaCuSbIr
_cell_length_a 6.426
_cell_length_b 6.426
_cell_length_c 6.426
_cell_angle_alpha 90.00
_cell_angle_beta 90.00
_cell_angle_gamma 90.00
_space_group_name_H-M_alt 'F -4 3 m'
_space_group_IT_number 216
_space_group_name_Hall 'F -4 2 3'
loop_
_atom_site_label
_atom_site_fract_x
_atom_site_fract_y
_atom_site_fract_z
Ga1 0.000 0.000 0.000
Cu1 0.250 0.250 0.250
Sb1 0.000 0.000 0.500
Ir1 0.250 0.250 0.750
# ΔE to the lowest computed polymorph in meV/atom: 0



# Sc2Ga4CuIr PBE relaxed
data_Sc2Ga4CuIr
_cell_length_a 6.570
_cell_length_b 4.139
_cell_length_c 9.790
_cell_angle_alpha 90.00
_cell_angle_beta 90.00
_cell_angle_gamma 90.00
_space_group_name_H-M_alt 'A m m 2'
_space_group_IT_number 38
loop_
_space_group_symop_operation_xyz
'x,y,z'
'-x,-y,z'
'-x,y,z'
'x,-y,z'
'x,y+1/2,z+1/2'
'-x,-y+1/2,z+1/2'
'-x,y+1/2,z+1/2'
'x,-y+1/2,z+1/2'
loop_
_atom_site_label
_atom_site_fract_x
_atom_site_fract_y
_atom_site_fract_z
Sc1 0.000 0.000 0.000
Sc2 0.500 0.000 0.158
Ga1 0.206 0.000 0.711
Ga2 0.304 0.000 0.448
Cu1 0.500 0.000 0.875
Ir1 0.000 0.000 0.286
# Electronic total energy in eV/atom: -5.288



# GaCu2IrSe4 PBE relaxed
data_GaCu2IrSe4
_cell_length_a 5.605
_cell_length_b 5.605
_cell_length_c 11.323
_cell_angle_alpha 90.00
_cell_angle_beta 90.00
_cell_angle_gamma 90.00
_space_group_name_H-M_alt 'I -4'
_space_group_IT_number 82
loop_
_space_group_symop_operation_xyz
'x,y,z'
'y,-x,-z'
'-x,-y,z'
'-y,x,-z'
'x+1/2,y+1/2,z+1/2'
'y+1/2,-x+1/2,-z+1/2'
'-x+1/2,-y+1/2,z+1/2'
'-y+1/2,x+1/2,-z+1/2'
loop_
_atom_site_label
_atom_site_fract_x
_atom_site_fract_y
_atom_site_fract_z
Ga1 0.000 0.000 0.000
Cu1 0.000 0.000 0.500
Cu2 0.000 0.500 0.250
Ir1 0.000 0.500 0.750
Se1 0.244 0.244 0.372
# Electronic total energy in eV/atom: -4.319



# Sr2Ga4CuIr PBE relaxed
data_Sr2Ga4CuIr
_cell_length_a 7.282
_cell_length_b 4.168
_cell_length_c 11.349
_cell_angle_alpha 90.00
_cell_angle_beta 90.00
_cell_angle_gamma 90.00
_space_group_name_H-M_alt 'A m m 2'
_space_group_IT_number 38
loop_
_space_group_symop_operation_xyz
'x,y,z'
'-x,-y,z'
'-x,y,z'
'x,-y,z'
'x,y+1/2,z+1/2'
'-x,-y+1/2,z+1/2'
'-x,y+1/2,z+1/2'
'x,-y+1/2,z+1/2'
loop_
_atom_site_label
_atom_site_fract_x
_atom_site_fract_y
_atom_site_fract_z
Sr1 0.000 0.000 0.000
Sr2 0.500 0.000 0.103
Ga1 0.192 0.000 0.725
Ga2 0.311 0.000 0.384
Cu1 0.500 0.000 0.828
Ir1 0.000 0.000 0.274
# Electronic total energy in eV/atom: -3.959



# TaGaCuIr PBE relaxed
data_TaGaCuIr
_cell_length_a 6.205
_cell_length_b 6.205
_cell_length_c 6.205
_cell_angle_alpha 90.00
_cell_angle_beta 90.00
_cell_angle_gamma 90.00
_space_group_name_H-M_alt 'F -4 3 m'
_space_group_IT_number 216
_space_group_name_Hall 'F -4 2 3'
loop_
_atom_site_label
_atom_site_fract_x
_atom_site_fract_y
_atom_site_fract_z
Ta1 0.000 0.000 0.000
Ga1 0.000 0.000 0.500
Cu1 0.250 0.250 0.750
Ir1 0.250 0.250 0.250
# ΔE to the lowest computed polymorph in meV/atom: 0



# TaGaCuIr PBE relaxed
data_TaGaCuIr
_cell_length_a 6.147
_cell_length_b 6.147
_cell_length_c 6.147
_cell_angle_alpha 90.00
_cell_angle_beta 90.00
_cell_angle_gamma 90.00
_space_group_name_H-M_alt 'F -4 3 m'
_space_group_IT_number 216
_space_group_name_Hall 'F -4 2 3'
loop_
_atom_site_label
_atom_site_fract_x
_atom_site_fract_y
_atom_site_fract_z
Ta1 0.000 0.000 0.000
Ga1 0.250 0.250 0.250
Cu1 0.250 0.250 0.750
Ir1 0.000 0.000 0.500
# ΔE to the lowest computed polymorph in meV/atom: 219



# TaGaCuIr PBE relaxed
data_TaGaCuIr
_cell_length_a 6.206
_cell_length_b 6.206
_cell_length_c 6.206
_cell_angle_alpha 90.00
_cell_angle_beta 90.00
_cell_angle_gamma 90.00
_space_group_name_H-M_alt 'F -4 3 m'
_space_group_IT_number 216
_space_group_name_Hall 'F -4 2 3'
loop_
_atom_site_label
_atom_site_fract_x
_atom_site_fract_y
_atom_site_fract_z
Ta1 0.000 0.000 0.000
Ga1 0.250 0.250 0.750
Cu1 0.000 0.000 0.500
Ir1 0.250 0.250 0.250
# ΔE to the lowest computed polymorph in meV/atom: 126



For reference, total magnetic moment by record: 0.01, 1.32, 0.01, 0.00, 0.59, 0.00, 0.01, 0.08, 0.00, 0.00, 0.01, 0.00 μB per cell.